1.
# Rb3Pu2AgS6 PBE optimized geometry
data_Rb3Pu2AgS6
_symmetry_space_group_name_H-M 'C 1 2/m 1'
_symmetry_Int_Tables_number 12
_cell_length_a 7.031
_cell_length_b 12.239
_cell_length_c 7.968
_cell_angle_alpha 90.00
_cell_angle_beta 106.81
_cell_angle_gamma 90.00
loop_
_symmetry_equiv_pos_as_xyz
'x,y,z'
'-x,-y,-z'
'-x,y,-z'
'x,-y,z'
'x+1/2,y+1/2,z'
'-x+1/2,-y+1/2,-z'
'-x+1/2,y+1/2,-z'
'x+1/2,-y+1/2,z'
loop_
_atom_site_label
_atom_site_fract_x
_atom_site_fract_y
_atom_site_fract_z
Rb1 0.000 0.000 0.000
Rb2 0.000 0.343 0.000
Pu1 0.000 0.167 0.500
Ag1 0.000 0.500 0.500
S1 0.212 0.000 0.687
S2 0.242 0.322 0.693
# Energy relative to the elements, uncorrected (eV/atom): -1.211

2.
# RbPu2AgS4 PBE optimized geometry
data_RbPu2AgS4
_symmetry_space_group_name_H-M 'C m c m'
_symmetry_Int_Tables_number 63
_symmetry_space_group_name_Hall '-C 2c 2'
_cell_length_a 4.129
_cell_length_b 13.771
_cell_length_c 14.204
_cell_angle_alpha 90.00
_cell_angle_beta 90.00
_cell_angle_gamma 90.00
loop_
_atom_site_label
_atom_site_fract_x
_atom_site_fract_y
_atom_site_fract_z
Rb1 0.000 0.113 0.250
Pu1 0.000 0.369 0.062
Ag1 0.000 0.165 0.750
S1 0.000 0.000 0.000
S2 0.000 0.260 0.599
S3 0.000 0.436 0.250
# Energy relative to the elements, uncorrected (eV/atom): -1.334

3.
# RbPu2Ag2S6 PBE optimized geometry
data_RbPu2Ag2S6
_symmetry_space_group_name_H-M 'P -1'
_symmetry_Int_Tables_number 2
_cell_length_a 7.177
_cell_length_b 7.275
_cell_length_c 7.624
_cell_angle_alpha 65.61
_cell_angle_beta 64.75
_cell_angle_gamma 61.56
loop_
_symmetry_equiv_pos_as_xyz
'x,y,z'
'-x,-y,-z'
loop_
_atom_site_label
_atom_site_fract_x
_atom_site_fract_y
_atom_site_fract_z
Rb1 0.000 0.000 0.000
Pu1 0.330 0.333 0.003
Ag1 0.437 0.709 0.560
S1 0.078 0.656 0.775
S2 0.321 0.550 0.219
S3 0.474 0.060 0.777
# Energy relative to the elements, uncorrected (eV/atom): -0.918